Cd2AgP: relaxed, PBE.

- SG: Cmmm, No. 65
- Total DFT energy (no corrections): -9.282 eV per cell
- ρ: 7.8 Mg/m³
- Magnetization: 0.000 μB per atom
- N(E_F): 0.806 states/eV/f.u.

Unit cell a=5.180 b=5.180 c=3.041 alpha=90.00 beta=90.00 gamma=108.55
Fractional coordinates of all 4 atoms:
Cd 0.000 0.000 0.000
Cd 0.500 0.500 0.000
P 0.500 0.000 0.500
Ag 0.000 0.500 0.500